Run i
Material: RbSrSi3
Method: DFT, PBE
State: optimized geometry

Geometry as extended XYZ:
```
5
Lattice="5.780 0.000 0.000 0.000 5.780 0.000 0.000 0.000 5.780" Properties=species:S:1:pos:R:3 pbc="T T T"
Sr 0.000 0.000 0.000
Si 0.000 2.890 0.000
Si 0.000 0.000 2.890
Si 2.890 0.000 0.000
Rb 2.890 2.890 2.890
```

Values from the calculation:
crystal system: cubic
SG: Pm-3m, No. 221

Run ii
Material: RbSrSi3
Method: DFT, PBE
State: optimized geometry

Geometry as extended XYZ:
```
5
Lattice="-0.366 -4.417 -3.330 4.494 -2.183 2.402 -3.225 -2.541 3.725" Properties=species:S:1:pos:R:3 pbc="T T T"
Sr 0.452 -4.571 1.398
Si 2.247 -1.092 1.201
Si -1.613 -1.271 1.862
Si -0.183 -2.209 -1.665
Rb 0.000 0.000 0.000
```

Values from the calculation:
crystal system: cubic
SG: Pm-3m, No. 221

On energetic grounds, run i is preferred over the next structure by 325 meV per atom.

Run i
Material: RbTa3Si
Method: DFT, PBE
State: optimized geometry

Geometry as extended XYZ:
```
5
Lattice="-1.549 4.122 2.142 -2.060 -2.634 3.578 4.164 0.230 2.567" Properties=species:S:1:pos:R:3 pbc="T T T"
Si 0.000 0.000 0.000
Rb 0.278 0.860 4.144
Ta -1.030 -1.317 1.789
Ta 2.082 0.115 1.284
Ta -0.774 2.061 1.071
```

Values from the calculation:
crystal system: cubic
SG: Pm-3m, No. 221

Run ii
Material: RbTa3Si
Method: DFT, PBE
State: optimized geometry

Geometry as extended XYZ:
```
5
Lattice="-4.547 0.188 -1.456 0.335 -4.480 -1.626 -1.429 -1.649 4.250" Properties=species:S:1:pos:R:3 pbc="T T T"
Si -2.820 -2.971 0.584
Rb 0.000 0.000 0.000
Ta 0.168 -2.240 -0.813
Ta -0.715 -0.825 2.125
Ta -2.273 0.094 -0.728
```

Values from the calculation:
crystal system: cubic
SG: Pm-3m, No. 221

On energetic grounds, run i is preferred over the next structure by 1830 meV per atom.